VASP calculation (PBE) on a geometry-optimized SmDy12Y7 structure.

Output
- DFT formation energy: 0.7230 eV per atom
- Symmetry: Im-3m, No. 229
- Energy relative to the lowest polymorph listed for this composition: 807 kJ/mol of formula units
- Electronic total energy: -4.54 eV per atom

Geometry as CIF:
```
data_SmDy12Y7
_cell_length_a 9.754
_cell_length_b 9.754
_cell_length_c 9.754
_cell_angle_alpha 109.47
_cell_angle_beta 109.47
_cell_angle_gamma 109.47
_symmetry_space_group_name_H-M 'P 1'
_symmetry_Int_Tables_number 1
loop_
_symmetry_equiv_pos_as_xyz
'x,y,z'
loop_
_atom_site_label
_atom_site_fract_x
_atom_site_fract_y
_atom_site_fract_z
Dy1 0.748 0.252 0.000
Dy2 0.748 0.748 0.496
Dy3 0.252 0.504 0.252
Dy4 0.504 0.252 0.252
Dy5 0.252 0.000 0.748
Dy6 0.748 0.496 0.748
Dy7 0.000 0.748 0.252
Dy8 0.496 0.748 0.748
Dy9 0.000 0.252 0.748
Dy10 0.748 0.000 0.252
Dy11 0.252 0.252 0.504
Dy12 0.252 0.748 0.000
Y1 0.000 0.500 0.000
Y2 0.500 0.000 0.500
Y3 0.000 0.500 0.500
Y4 0.500 0.500 0.000
Y5 0.500 0.000 0.000
Y6 0.000 0.000 0.500
Y7 0.500 0.500 0.500
Sm1 0.000 0.000 0.000
```

***

VASP calculation (PBE) on a geometry-optimized Sm8DyY2 structure.

Output
- DFT formation energy: 0.1639 eV per atom
- Symmetry: C2/m, No. 12
- Energy relative to the lowest polymorph listed for this composition: 157 kJ/mol of formula units
- Electronic total energy: -4.86 eV per atom

Geometry as CIF:
```
data_Sm8DyY2
_cell_length_a 6.699
_cell_length_b 10.336
_cell_length_c 10.336
_cell_angle_alpha 38.16
_cell_angle_beta 59.55
_cell_angle_gamma 59.55
_symmetry_space_group_name_H-M 'P 1'
_symmetry_Int_Tables_number 1
loop_
_symmetry_equiv_pos_as_xyz
'x,y,z'
loop_
_atom_site_label
_atom_site_fract_x
_atom_site_fract_y
_atom_site_fract_z
Sm1 0.773 0.174 0.651
Sm2 0.227 0.349 0.826
Sm3 0.773 0.651 0.174
Sm4 0.274 0.409 0.409
Sm5 0.830 0.246 0.246
Sm6 0.170 0.754 0.754
Sm7 0.726 0.591 0.591
Sm8 0.227 0.826 0.349
Y1 0.411 0.199 0.199
Y2 0.589 0.801 0.801
Dy1 0.000 0.000 0.000
```

***

VASP calculation (PBE) on a geometry-optimized Sm2Dy3Y3 structure.

Output
- DFT formation energy: 0.0216 eV per atom
- Symmetry: Immm, No. 71
- Energy relative to the lowest polymorph listed for this composition: 0 kJ/mol of formula units
- Electronic total energy: -5.31 eV per atom

Geometry as CIF:
```
data_Sm2Dy3Y3
_cell_length_a 5.059
_cell_length_b 5.059
_cell_length_c 10.714
_cell_angle_alpha 103.66
_cell_angle_beta 103.66
_cell_angle_gamma 90.00
_symmetry_space_group_name_H-M 'P 1'
_symmetry_Int_Tables_number 1
loop_
_symmetry_equiv_pos_as_xyz
'x,y,z'
loop_
_atom_site_label
_atom_site_fract_x
_atom_site_fract_y
_atom_site_fract_z
Dy1 0.876 0.876 0.752
Dy2 0.000 0.500 0.000
Dy3 0.124 0.124 0.248
Y1 0.376 0.376 0.752
Y2 0.500 0.000 0.000
Y3 0.624 0.624 0.248
Sm1 0.750 0.250 0.500
Sm2 0.250 0.750 0.500
```

***

VASP calculation (PBE) on a geometry-optimized SmDy4Y7 structure.

Output
- DFT formation energy: 0.2869 eV per atom
- Symmetry: C2/m, No. 12
- Energy relative to the lowest polymorph listed for this composition: 232 kJ/mol of formula units
- Electronic total energy: -5.41 eV per atom

Geometry as CIF:
```
data_SmDy4Y7
_cell_length_a 5.871
_cell_length_b 11.644
_cell_length_c 6.719
_cell_angle_alpha 83.00
_cell_angle_beta 64.09
_cell_angle_gamma 75.40
_symmetry_space_group_name_H-M 'P 1'
_symmetry_Int_Tables_number 1
loop_
_symmetry_equiv_pos_as_xyz
'x,y,z'
loop_
_atom_site_label
_atom_site_fract_x
_atom_site_fract_y
_atom_site_fract_z
Dy1 0.245 0.319 0.191
Dy2 0.363 0.775 0.499
Dy3 0.637 0.225 0.501
Dy4 0.755 0.681 0.809
Y1 0.789 0.923 0.499
Y2 0.061 0.676 0.203
Y3 0.211 0.077 0.501
Y4 0.366 0.502 0.767
Y5 0.634 0.498 0.233
Y6 0.939 0.324 0.797
Y7 0.500 0.000 0.000
Sm1 0.000 0.000 0.000
```

***

VASP calculation (PBE) on a geometry-optimized Sm12DyY5 structure.

Output
- DFT formation energy: 0.0170 eV per atom
- Symmetry: Cmmm, No. 65
- Electronic total energy: -5.18 eV per atom

Geometry as CIF:
```
data_Sm12DyY5
_cell_length_a 15.286
_cell_length_b 10.820
_cell_length_c 5.106
_cell_angle_alpha 90.00
_cell_angle_beta 90.00
_cell_angle_gamma 45.06
_symmetry_space_group_name_H-M 'P 1'
_symmetry_Int_Tables_number 1
loop_
_symmetry_equiv_pos_as_xyz
'x,y,z'
loop_
_atom_site_label
_atom_site_fract_x
_atom_site_fract_y
_atom_site_fract_z
Sm1 0.000 0.667 0.000
Sm2 0.167 0.333 0.500
Sm3 0.834 0.000 0.500
Sm4 0.500 0.667 0.500
Sm5 0.166 0.000 0.500
Sm6 0.833 0.667 0.500
Sm7 0.667 0.333 0.000
Sm8 0.333 0.000 0.000
Sm9 0.500 0.333 0.500
Sm10 0.333 0.667 0.000
Sm11 0.000 0.333 0.000
Sm12 0.667 0.000 0.000
Dy1 0.000 0.000 0.000
Y1 0.834 0.333 0.500
Y2 0.333 0.333 0.000
Y3 0.166 0.667 0.500
Y4 0.500 0.000 0.500
Y5 0.667 0.667 0.000
```

***

VASP calculation (PBE) on a geometry-optimized SmDy3Y4 structure.

Output
- DFT formation energy: 0.2171 eV per atom
- Symmetry: Cmmm, No. 65
- Energy relative to the lowest polymorph listed for this composition: 163 kJ/mol of formula units
- Electronic total energy: -5.33 eV per atom

Geometry as CIF:
```
data_SmDy3Y4
_cell_length_a 5.646
_cell_length_b 3.558
_cell_length_c 13.492
_cell_angle_alpha 89.96
_cell_angle_beta 102.08
_cell_angle_gamma 90.00
_symmetry_space_group_name_H-M 'P 1'
_symmetry_Int_Tables_number 1
loop_
_symmetry_equiv_pos_as_xyz
'x,y,z'
loop_
_atom_site_label
_atom_site_fract_x
_atom_site_fract_y
_atom_site_fract_z
Y1 0.396 0.500 0.792
Y2 0.604 0.500 0.208
Y3 0.723 0.501 0.446
Y4 0.277 0.499 0.554
Dy1 0.000 0.500 0.000
Dy2 0.844 0.000 0.688
Dy3 0.156 0.000 0.312
Sm1 0.500 0.000 0.000
```

***

VASP calculation (PBE) on a geometry-optimized Sm4Dy2Y5 structure.

Output
- DFT formation energy: 0.1012 eV per atom
- Symmetry: C2/m, No. 12
- Energy relative to the lowest polymorph listed for this composition: 0 kJ/mol of formula units
- Electronic total energy: -5.39 eV per atom

Geometry as CIF:
```
data_Sm4Dy2Y5
_cell_length_a 3.551
_cell_length_b 8.640
_cell_length_c 12.185
_cell_angle_alpha 94.61
_cell_angle_beta 98.38
_cell_angle_gamma 90.00
_symmetry_space_group_name_H-M 'P 1'
_symmetry_Int_Tables_number 1
loop_
_symmetry_equiv_pos_as_xyz
'x,y,z'
loop_
_atom_site_label
_atom_site_fract_x
_atom_site_fract_y
_atom_site_fract_z
Y1 0.185 0.474 0.370
Y2 0.870 0.953 0.739
Y3 0.130 0.047 0.261
Y4 0.815 0.526 0.630
Y5 0.500 0.000 0.000
Sm1 0.276 0.173 0.552
Sm2 0.724 0.827 0.448
Sm3 0.961 0.656 0.921
Sm4 0.039 0.344 0.079
Dy1 0.412 0.305 0.824
Dy2 0.588 0.695 0.176
```

***

VASP calculation (PBE) on a geometry-optimized Sm2DyY7 structure.

Output
- DFT formation energy: 0.6945 eV per atom
- Symmetry: Cmmm, No. 65
- Energy relative to the lowest polymorph listed for this composition: 471 kJ/mol of formula units
- Electronic total energy: -5.23 eV per atom

Geometry as CIF:
```
data_Sm2DyY7
_cell_length_a 5.292
_cell_length_b 9.595
_cell_length_c 9.595
_cell_angle_alpha 125.98
_cell_angle_beta 90.00
_cell_angle_gamma 90.00
_symmetry_space_group_name_H-M 'P 1'
_symmetry_Int_Tables_number 1
loop_
_symmetry_equiv_pos_as_xyz
'x,y,z'
loop_
_atom_site_label
_atom_site_fract_x
_atom_site_fract_y
_atom_site_fract_z
Y1 0.500 0.500 0.500
Y2 0.500 0.931 0.712
Y3 0.500 0.712 0.931
Y4 0.500 0.069 0.288
Y5 0.000 0.799 0.201
Y6 0.500 0.288 0.069
Y7 0.000 0.201 0.799
Sm1 0.500 0.702 0.298
Sm2 0.500 0.298 0.702
Dy1 0.000 0.000 0.000
```

***

VASP calculation (PBE) on a geometry-optimized Sm5Dy3Y3 structure.

Output
- DFT formation energy: 0.3396 eV per atom
- Symmetry: P-62m, No. 189
- Energy relative to the lowest polymorph listed for this composition: 0 kJ/mol of formula units
- Electronic total energy: -4.82 eV per atom

Geometry as CIF:
```
data_Sm5Dy3Y3
_cell_length_a 3.456
_cell_length_b 11.235
_cell_length_c 11.235
_cell_angle_alpha 120.00
_cell_angle_beta 90.00
_cell_angle_gamma 90.00
_symmetry_space_group_name_H-M 'P 1'
_symmetry_Int_Tables_number 1
loop_
_symmetry_equiv_pos_as_xyz
'x,y,z'
loop_
_atom_site_label
_atom_site_fract_x
_atom_site_fract_y
_atom_site_fract_z
Sm1 0.500 0.667 0.333
Sm2 0.500 0.333 0.667
Sm3 0.500 0.660 0.660
Sm4 0.500 0.340 0.000
Sm5 0.500 0.000 0.340
Dy1 0.000 0.407 0.407
Dy2 0.000 0.000 0.593
Dy3 0.000 0.593 0.000
Y1 0.500 0.161 0.161
Y2 0.500 0.000 0.839
Y3 0.500 0.839 0.000
```

***

VASP calculation (PBE) on a geometry-optimized Sm3Dy2Y3 structure.

Output
- DFT formation energy: 0.0864 eV per atom
- Symmetry: C2/m, No. 12
- Electronic total energy: -5.26 eV per atom

Geometry as CIF:
```
data_Sm3Dy2Y3
_cell_length_a 5.733
_cell_length_b 6.030
_cell_length_c 8.766
_cell_angle_alpha 111.55
_cell_angle_beta 109.09
_cell_angle_gamma 90.00
_symmetry_space_group_name_H-M 'P 1'
_symmetry_Int_Tables_number 1
loop_
_symmetry_equiv_pos_as_xyz
'x,y,z'
loop_
_atom_site_label
_atom_site_fract_x
_atom_site_fract_y
_atom_site_fract_z
Sm1 0.500 0.500 0.000
Sm2 0.634 0.073 0.268
Sm3 0.366 0.927 0.732
Y1 0.867 0.315 0.735
Y2 0.133 0.685 0.265
Y3 0.000 0.000 0.000
Dy1 0.749 0.681 0.498
Dy2 0.251 0.319 0.502
```